Computed, not measured: a geometry-optimized NaZrPd3 structure at the PBE level of DFT.

Summary:
As for the uncorrected energy: -4.763 eV per atom. The value obtained for the excess energy over the best structure of this formula in the dataset is 0.0 meV per atom. The magnetic moment is 0.0 μB per cell. Its formation energy is 0.33 eV per atom.

abc: 4.9985 4.9985 4.9985
angles: 90.00 90.00 90.00
Closest atoms and distances in Å follow each position.
Space group Pm-3m (No. 221)
Inequivalent atoms, fractional coordinates:
Na 0.0000 0.0000 0.0000 x1  12 Pd 3.53
Zr 0.5000 0.5000 0.5000 x1  6 Pd 2.50
Pd 0.0000 0.5000 0.5000 x3  2 Zr 2.50